No. 1
{
  "formula": "Sm6AgRu3",
  "functional": "GGA-PBE",
  "state": "optimized geometry",
  "lattice": [[-0.7813, -6.4511, 1.8277], [-0.7420, -2.4052, -8.8063], [8.8016, -0.3552, 2.5084]],
  "species": ["Sm", "Sm", "Sm", "Sm", "Sm", "Sm", "Sm", "Sm", "Sm", "Sm", "Sm", "Sm", "Ag", "Ag", "Ru", "Ru", "Ru", "Ru", "Ru", "Ru"],
  "fractional_positions": [[0.1570, 0.7214, 0.6462], [0.6570, 0.6462, 0.7214], [0.2013, 0.4809, 0.8832], [0.7013, 0.8832, 0.4809], [0.2646, 0.9666, 0.0334], [0.6325, 0.2529, 0.7471], [0.1325, 0.7471, 0.2529], [0.7646, 0.0334, 0.9666], [0.2013, 0.1168, 0.5191], [0.7013, 0.5191, 0.1168], [0.1570, 0.3538, 0.2786], [0.6570, 0.2786, 0.3538], [0.0987, 0.1567, 0.8433], [0.5987, 0.8433, 0.1567], [0.4471, 0.9674, 0.7344], [0.9471, 0.7344, 0.9674], [0.3788, 0.4101, 0.5899], [0.8788, 0.5899, 0.4101], [0.9471, 0.0326, 0.2656], [0.4471, 0.2656, 0.0326]],
  "formation_enthalpy_0k_mev_per_atom": -156,
  "m_tot_mub_per_cell": 0.00
}


No. 2
{
  "formula": "Pm2ZrTl3Te6",
  "functional": "GGA-PBE",
  "state": "optimized geometry",
  "lattice": [[7.6084, 0.0038, 0.0006], [-3.7991, 6.5921, 0.0006], [-1.2695, -2.1981, 8.2619]],
  "species": ["Pm", "Pm", "Zr", "Tl", "Tl", "Tl", "Te", "Te", "Te", "Te", "Te", "Te"],
  "fractional_positions": [[0.3344, 0.6656, 0.0000], [0.6656, 0.3344, 0.0000], [0.0000, 0.0000, 0.0000], [0.1732, 0.8268, 0.5000], [0.8268, 0.1732, 0.5000], [0.5000, 0.5000, 0.5000], [0.9289, 0.6137, 0.7853], [0.7589, 0.7589, 0.2201], [0.0711, 0.3863, 0.2147], [0.6137, 0.9289, 0.7853], [0.2411, 0.2411, 0.7799], [0.3863, 0.0711, 0.2147]],
  "e_tot_ev_per_atom": -4.57,
  "m_tot_mub_per_cell": 0.57
}


No. 3
{
  "formula": "SrLi2Br",
  "functional": "GGA-PBE",
  "state": "optimized geometry",
  "lattice": [[9.7630, -0.0114, -0.0067], [8.9662, 3.8632, -0.0067], [8.9662, 1.8440, 3.3947]],
  "species": ["Br", "Li", "Li", "Sr"],
  "fractional_positions": [[0.7500, 0.7500, 0.7500], [0.0290, 0.0290, 0.0290], [0.4710, 0.4710, 0.4710], [0.2500, 0.2500, 0.2500]],
  "relative_energy_ev_per_atom": 0.019,
  "m_tot_mub_per_cell": 0.00
}


No. 4
{
  "formula": "SmScAs2",
  "functional": "GGA-PBE",
  "state": "optimized geometry",
  "lattice": [[4.0603, -0.0017, -0.0044], [-2.0304, 3.5162, 0.0044], [-2.0263, -1.1731, 6.5880]],
  "species": ["Sm", "Sc", "As", "As"],
  "fractional_positions": [[0.0000, 0.5000, 0.5000], [0.0000, 0.0000, 0.0000], [0.5140, 0.2570, 0.7709], [0.4860, 0.7430, 0.2291]],
  "formation_enthalpy_0k_mev_per_atom": -1429,
  "relative_energy_ev_per_atom": 0.000,
  "m_tot_mub_per_cell": 0.00
}


No. 5
{
  "formula": "CoRh2Se",
  "functional": "GGA-PBE",
  "state": "optimized geometry",
  "lattice": [[4.8244, -0.0216, -0.0219], [3.9513, 2.7682, -0.0219], [1.4781, 0.4626, 4.2049]],
  "species": ["Co", "Rh", "Rh", "Se"],
  "fractional_positions": [[0.2308, 0.2308, 0.2128], [0.9827, 0.9827, 0.0457], [0.7697, 0.7697, 0.6997], [0.5167, 0.5167, 0.5418]],
  "e_tot_ev_per_atom": -6.19,
  "m_tot_mub_per_cell": 2.63
}


No. 6
{
  "formula": "AcCeSmY",
  "functional": "GGA-PBE",
  "state": "optimized geometry",
  "lattice": [[-0.4570, -5.3499, 2.3897], [0.2397, -4.7753, -3.4176], [4.6913, -3.5337, 0.2132]],
  "species": ["Y", "Ac", "Ce", "Sm"],
  "fractional_positions": [[0.7500, 0.7500, 0.7500], [0.0000, 0.0000, 0.0000], [0.5000, 0.5000, 0.5000], [0.2500, 0.2500, 0.2500]],
  "formation_enthalpy_0k_mev_per_atom": 198,
  "m_tot_mub_per_cell": 0.96
}


No. 7
{
  "formula": "Na3Li3Sn8",
  "functional": "GGA-PBE",
  "state": "optimized geometry",
  "lattice": [[4.5643, 0.0000, 1.2059], [1.7807, 8.7965, 2.5009], [-0.0168, 0.4773, 9.3046]],
  "species": ["Na", "Na", "Na", "Li", "Li", "Li", "Sn", "Sn", "Sn", "Sn", "Sn", "Sn", "Sn", "Sn"],
  "fractional_positions": [[0.5000, 0.5000, 0.5000], [0.7976, 0.2024, 0.2024], [0.2024, 0.7976, 0.7976], [0.5000, 0.0000, 0.0000], [0.0000, 0.8098, 0.1902], [0.0000, 0.1902, 0.8098], [0.6283, 0.0659, 0.6775], [0.3717, 0.9341, 0.3225], [0.6283, 0.6775, 0.0659], [0.3717, 0.3225, 0.9341], [0.8390, 0.8010, 0.5210], [0.1610, 0.1990, 0.4790], [0.8390, 0.5210, 0.8010], [0.1610, 0.4790, 0.1990]],
  "formation_enthalpy_0k_mev_per_atom": -186,
  "m_tot_mub_per_cell": 0.00
}


No. 8
{
  "formula": "DyUCo3",
  "functional": "GGA-PBE",
  "state": "optimized geometry",
  "lattice": [[4.6009, 0.0000, -2.5437], [-2.1391, 6.4821, -3.8691], [0.4547, -0.8650, 6.2552]],
  "species": ["Dy", "Dy", "U", "U", "Co", "Co", "Co", "Co", "Co", "Co"],
  "fractional_positions": [[0.2500, 0.3135, 0.5000], [0.7500, 0.6865, 0.5000], [0.0000, 0.5000, 0.0000], [0.5000, 0.0000, 0.0000], [0.7331, 0.2331, 0.9661], [0.2331, 0.2331, 0.9661], [0.7669, 0.7669, 0.0339], [0.2669, 0.7669, 0.0339], [0.2500, 0.9203, 0.5000], [0.7500, 0.0797, 0.5000]],
  "formation_enthalpy_0k_mev_per_atom": -133,
  "relative_energy_ev_per_atom": 0.083,
  "m_tot_mub_per_cell": 0.00
}